Record 1
Computed, not measured: a geometry-optimized FeMo2OsN structure at the PBE level of DFT.

Cell lengths 4.0896, 4.0896, 3.7684 Å; angles 90.00, 90.00, 90.00 degrees
Last column: nearest neighbours and their distance in Å.
Sites, in units of the cell vectors:
Mo 0.5000 0.0000 0.0000  2 N 2.04
Fe 0.0000 0.0000 0.5000  2 N 1.88
Mo 0.0000 0.5000 0.0000  2 N 2.04
N 0.0000 0.0000 0.0000  2 Fe 1.88, 4 Mo 2.04
Os 0.5000 0.5000 0.5000  8 Mo 2.78, 4 Fe 2.89

Output
energy = -9.962 eV/atom
DOS at the Fermi energy = 4.84 states/eV/cell
crystal system = tetragonal
energy relative to the elements, uncorrected = -0.130 eV per formula unit



Record 2
Computed, not measured: a geometry-optimized Fe2MoPdN structure at the PBE level of DFT.

Cell lengths 3.8985, 3.8985, 4.0514 Å; angles 90.00, 90.00, 90.00 degrees
Last column: nearest neighbours and their distance in Å.
Sites, in units of the cell vectors:
Pd 0.5000 0.5000 0.5000  4 Mo 2.76, 8 Fe 2.81
Fe 0.0000 0.5000 0.0000  2 N 1.95
Mo 0.0000 0.0000 0.5000  2 N 2.03
Fe 0.5000 0.0000 0.0000  2 N 1.95
N 0.0000 0.0000 0.0000  4 Fe 1.95, 2 Mo 2.03

Output
energy = -8.321 eV/atom
DOS at the Fermi energy = 5.68 states/eV/cell
crystal system = tetragonal
energy relative to the elements, uncorrected = -0.332 eV per formula unit



Record 3
Computed, not measured: a geometry-optimized FeMo2PdN structure at the PBE level of DFT.

Cell lengths 4.0985, 4.0985, 3.8760 Å; angles 90.00, 90.00, 90.00 degrees
Last column: nearest neighbours and their distance in Å.
Sites, in units of the cell vectors:
Mo 0.0000 0.5000 0.0000  2 N 2.05
Pd 0.5000 0.5000 0.5000  8 Mo 2.82, 4 Fe 2.90
Mo 0.5000 0.0000 0.0000  2 N 2.05
Fe 0.0000 0.0000 0.5000  2 N 1.94
N 0.0000 0.0000 0.0000  2 Fe 1.94, 4 Mo 2.05

Output
energy = -8.832 eV/atom
DOS at the Fermi energy = 4.93 states/eV/cell
crystal system = tetragonal
energy relative to the elements, uncorrected = -0.516 eV per formula unit



Record 4
Computed, not measured: a geometry-optimized Pm2FeMoN5 structure at the PBE level of DFT.

Cell lengths 3.2253, 7.2298, 10.0281 Å; angles 90.00, 90.00, 102.89 degrees
Last column: nearest neighbours and their distance in Å.
Sites, in units of the cell vectors:
Pm 0.1248 0.2496 0.3172  6 N 2.44-2.54
Pm 0.1186 0.2372 0.6976  7 N 2.45-2.64
Mo 0.2077 0.4154 0.0210  1 N 1.82
Pm 0.8752 0.7504 0.8172  6 N 2.44-2.54
Mo 0.7923 0.5846 0.5210  1 N 1.82
N 0.6965 0.3931 0.1575  2 Mo 2.12
N 0.3035 0.6069 0.6575  2 Mo 2.12
N 0.6773 0.3546 0.8787  1 Fe 1.90
N 0.3365 0.6730 0.0051  1 Mo 1.82
N 0.0275 0.0550 0.0155  2 Fe 1.78
N 0.5028 0.0056 0.7821  1 Fe 1.82
N 0.6635 0.3270 0.5051  1 Mo 1.82
N 0.3227 0.6454 0.3787  1 Fe 1.90
Fe 0.4479 0.8959 0.4494  4 N 1.78-1.90
Pm 0.8814 0.7628 0.1976  7 N 2.45-2.64
N 0.9725 0.9450 0.5155  2 Fe 1.78
Fe 0.5521 0.1041 0.9494  4 N 1.78-1.90
N 0.4972 0.9944 0.2821  1 Fe 1.82

Output
energy = -8.539 eV/atom
DOS at the Fermi energy = 6.33 states/eV/cell
crystal system = orthorhombic
energy relative to the elements, uncorrected = -6.433 eV per formula unit



Record 5
Computed, not measured: a geometry-optimized Pr2FeMoN5 structure at the PBE level of DFT.

Cell lengths 3.2594, 7.3098, 10.1733 Å; angles 90.00, 90.00, 102.88 degrees
Last column: nearest neighbours and their distance in Å.
Sites, in units of the cell vectors:
N 0.3230 0.6461 0.3812  1 Fe 1.90
N 0.9707 0.9415 0.5138  2 Fe 1.79
N 0.6964 0.3928 0.1543  2 Mo 2.13
Pr 0.1191 0.2383 0.6979  7 N 2.48-2.67
Mo 0.7929 0.5859 0.5209  1 N 1.82
N 0.3342 0.6684 0.0053  1 Mo 1.82
N 0.5032 0.0064 0.7848  1 Fe 1.81
Pr 0.8743 0.7486 0.8169  6 N 2.48-2.58
N 0.6658 0.3316 0.5053  1 Mo 1.82
Pr 0.1257 0.2514 0.3169  6 N 2.48-2.58
Pr 0.8809 0.7617 0.1979  7 N 2.48-2.67
N 0.3036 0.6072 0.6543  2 Mo 2.13
N 0.4968 0.9936 0.2848  1 Fe 1.81
Mo 0.2071 0.4141 0.0209  1 N 1.82
Fe 0.4472 0.8943 0.4489  4 N 1.79-1.90
Fe 0.5528 0.1057 0.9489  4 N 1.79-1.90
N 0.6770 0.3539 0.8812  1 Fe 1.90
N 0.0293 0.0585 0.0138  2 Fe 1.79

Output
energy = -8.495 eV/atom
DOS at the Fermi energy = 6.73 states/eV/cell
crystal system = orthorhombic
energy relative to the elements, uncorrected = -5.971 eV per formula unit



Record 6
Computed, not measured: a geometry-optimized FeMo3PtN structure at the PBE level of DFT.

Cell lengths 6.8123, 6.8123, 6.8123 Å; angles 90.00, 90.00, 90.00 degrees
Last column: nearest neighbours and their distance in Å.
Sites, in units of the cell vectors:
Mo 0.9600 0.3724 0.8013  2 N 2.12-2.15
Mo 0.6987 0.0400 0.8724  2 N 2.12-2.15
Mo 0.1276 0.1987 0.4600  2 N 2.12-2.15
N 0.3747 0.3747 0.3747  6 Mo 2.12-2.15
Mo 0.3724 0.8013 0.9600  2 N 2.12-2.15
Mo 0.8013 0.9600 0.3724  2 N 2.12-2.15
Pt 0.4352 0.9352 0.5648  3 Fe 2.54, 3 Mo 2.82
N 0.8747 0.1253 0.6253  6 Mo 2.12-2.15
Fe 0.6823 0.6823 0.6823  3 Pt 2.54, 6 Mo 2.76-2.80
Fe 0.3177 0.1823 0.8177  3 Pt 2.54, 6 Mo 2.76-2.80
N 0.1253 0.6253 0.8747  6 Mo 2.12-2.15
Mo 0.8724 0.6987 0.0400  2 N 2.12-2.15
Pt 0.0648 0.0648 0.0648  3 Fe 2.54, 3 Mo 2.82
Mo 0.4600 0.1276 0.1987  2 N 2.12-2.15
Pt 0.9352 0.5648 0.4352  3 Fe 2.54, 3 Mo 2.82
Fe 0.1823 0.8177 0.3177  3 Pt 2.54, 6 Mo 2.76-2.80
Pt 0.5648 0.4352 0.9352  3 Fe 2.54, 3 Mo 2.82
Mo 0.5400 0.6276 0.3013  2 N 2.12-2.15
Mo 0.0400 0.8724 0.6987  2 N 2.12-2.15
Mo 0.6276 0.3013 0.5400  2 N 2.12-2.15
Fe 0.8177 0.3177 0.1823  3 Pt 2.54, 6 Mo 2.76-2.80
Mo 0.3013 0.5400 0.6276  2 N 2.12-2.15
Mo 0.1987 0.4600 0.1276  2 N 2.12-2.15
N 0.6253 0.8747 0.1253  6 Mo 2.12-2.15

Output
energy = -9.524 eV/atom
DOS at the Fermi energy = 17.53 states/eV/cell
crystal system = cubic
energy relative to the elements, uncorrected = -1.820 eV per formula unit



Record 7
Computed, not measured: a geometry-optimized Fe3Mo6PtN2 structure at the PBE level of DFT.

Cell lengths 6.7547, 6.7544, 6.7666 Å; angles 90.38, 90.00, 90.00 degrees
Last column: nearest neighbours and their distance in Å.
Sites, in units of the cell vectors:
Mo 0.6222 0.0488 0.5408  2 N 2.11-2.14
Mo 0.5524 0.7906 0.8679  2 N 2.11
Fe 0.5679 0.4349 0.6720  2 Fe 2.45-2.48, 1 Pt 2.59, 3 Mo 2.70-2.74
Mo 0.2952 0.1265 0.7984  2 N 2.10-2.13
Mo 0.7079 0.3833 0.3019  2 N 2.12-2.13
N 0.6242 0.6263 0.1216  6 Mo 2.10-2.14
Pt 0.1843 0.8159 0.0652  3 Fe 2.57-2.59, 9 Mo 2.80-2.88
N 0.8727 0.1266 0.3732  6 Mo 2.11-2.14
Fe 0.3185 0.3195 0.4339  3 Fe 2.40-2.48
Mo 0.4507 0.7046 0.3750  2 N 2.11-2.14
Fe 0.4273 0.0790 0.1945  1 Fe 2.40, 2 Pt 2.57
Mo 0.3768 0.4495 0.0469  2 N 2.11
Fe 0.0679 0.5651 0.3280  2 Fe 2.45-2.48, 1 Pt 2.59, 3 Mo 2.70-2.74
Mo 0.9507 0.2954 0.6250  2 N 2.11-2.14
Mo 0.2079 0.6167 0.6981  2 N 2.12-2.13
Mo 0.1222 0.9512 0.4592  2 N 2.11-2.14
Fe 0.8185 0.6805 0.5661  3 Fe 2.40-2.48
Fe 0.9273 0.9210 0.8055  1 Fe 2.40, 2 Pt 2.57
Mo 0.7952 0.8735 0.2016  2 N 2.10-2.13
N 0.3727 0.8734 0.6268  6 Mo 2.11-2.14
Mo 0.0524 0.2094 0.1321  2 N 2.11
N 0.1242 0.3737 0.8784  6 Mo 2.10-2.14
Mo 0.8768 0.5505 0.9531  2 N 2.11
Pt 0.6843 0.1841 0.9348  3 Fe 2.57-2.59, 9 Mo 2.80-2.88

Output
energy = -9.653 eV/atom
DOS at the Fermi energy = 20.20 states/eV/cell
crystal system = monoclinic
energy relative to the elements, uncorrected = -2.773 eV per formula unit



Record 8
Computed, not measured: a geometry-optimized Fe2MoPtN structure at the PBE level of DFT.

Cell lengths 3.8993, 3.8993, 4.0477 Å; angles 90.00, 90.00, 90.00 degrees
Last column: nearest neighbours and their distance in Å.
Sites, in units of the cell vectors:
Fe 0.0000 0.5000 0.0000  2 N 1.95
N 0.0000 0.0000 0.0000  4 Fe 1.95, 2 Mo 2.02
Fe 0.5000 0.0000 0.0000  2 N 1.95
Pt 0.5000 0.5000 0.5000  4 Mo 2.76, 8 Fe 2.81
Mo 0.0000 0.0000 0.5000  2 N 2.02

Output
energy = -8.580 eV/atom
DOS at the Fermi energy = 6.46 states/eV/cell
crystal system = tetragonal
energy relative to the elements, uncorrected = -0.777 eV per formula unit



Record 9
Computed, not measured: a geometry-optimized FeMo2PtN structure at the PBE level of DFT.

Cell lengths 4.0853, 4.0853, 3.8507 Å; angles 90.00, 90.00, 90.00 degrees
Last column: nearest neighbours and their distance in Å.
Sites, in units of the cell vectors:
Fe 0.0000 0.0000 0.5000  2 N 1.93
N 0.0000 0.0000 0.0000  2 Fe 1.93, 4 Mo 2.04
Pt 0.5000 0.5000 0.5000  8 Mo 2.81, 4 Fe 2.89
Mo 0.5000 0.0000 0.0000  2 N 2.04
Mo 0.0000 0.5000 0.0000  2 N 2.04

Output
energy = -9.076 eV/atom
DOS at the Fermi energy = 6.36 states/eV/cell
crystal system = tetragonal
energy relative to the elements, uncorrected = -0.890 eV per formula unit



Record 10
Computed, not measured: a geometry-optimized FeReMo2N structure at the PBE level of DFT.

Cell lengths 4.1165, 4.1165, 3.7429 Å; angles 90.00, 90.00, 90.00 degrees
Last column: nearest neighbours and their distance in Å.
Sites, in units of the cell vectors:
Fe 0.0000 0.0000 0.5000  2 N 1.87
N 0.0000 0.0000 0.0000  2 Fe 1.87, 4 Mo 2.06
Re 0.5000 0.5000 0.5000  8 Mo 2.78, 4 Fe 2.91
Mo 0.5000 0.0000 0.0000  2 N 2.06
Mo 0.0000 0.5000 0.0000  2 N 2.06

Output
energy = -10.219 eV/atom
DOS at the Fermi energy = 3.44 states/eV/cell
crystal system = tetragonal
energy relative to the elements, uncorrected = -0.196 eV per formula unit



Record 11
Computed, not measured: a geometry-optimized Fe2MoRhN structure at the PBE level of DFT.

Cell lengths 3.8464, 3.8464, 4.0661 Å; angles 90.00, 90.00, 90.00 degrees
Last column: nearest neighbours and their distance in Å.
Sites, in units of the cell vectors:
Rh 0.5000 0.5000 0.5000  4 Mo 2.72, 8 Fe 2.80
N 0.0000 0.0000 0.0000  4 Fe 1.92, 2 Mo 2.03
Fe 0.0000 0.5000 0.0000  2 N 1.92
Mo 0.0000 0.0000 0.5000  2 N 2.03
Fe 0.5000 0.0000 0.0000  2 N 1.92

Output
energy = -8.777 eV/atom
DOS at the Fermi energy = 5.27 states/eV/cell
crystal system = tetragonal
energy relative to the elements, uncorrected = -0.450 eV per formula unit



Record 12
Computed, not measured: a geometry-optimized FeMo2RuN structure at the PBE level of DFT.

Cell lengths 4.0906, 4.0906, 3.7806 Å; angles 90.00, 90.00, 90.00 degrees
Last column: nearest neighbours and their distance in Å.
Sites, in units of the cell vectors:
Ru 0.5000 0.5000 0.5000  8 Mo 2.79, 4 Fe 2.89
N 0.0000 0.0000 0.0000  2 Fe 1.89, 4 Mo 2.05
Mo 0.5000 0.0000 0.0000  2 N 2.05
Mo 0.0000 0.5000 0.0000  2 N 2.05
Fe 0.0000 0.0000 0.5000  2 N 1.89

Output
energy = -9.609 eV/atom
DOS at the Fermi energy = 4.46 states/eV/cell
crystal system = tetragonal
energy relative to the elements, uncorrected = -0.317 eV per formula unit